Entry w
{
  "formula": "Mn2CrMo",
  "functional": "PBE-GGA",
  "state": "relaxed",
  "dos_at_fermi_per_ev_cell": 8.850,
  "cell": [[2.9867, 0.0000, 0.0000], [0.0000, 4.1643, 0.0000], [0.0000, 0.0000, 8.1208]],
  "species": ["Mn", "Mn", "Mn", "Mn", "Cr", "Cr", "Mo", "Mo"],
  "fractional_positions": [[0.0000, 0.0000, 0.2435], [0.0000, 0.0000, 0.7565], [0.5000, 0.5000, 0.2565], [0.5000, 0.5000, 0.7435], [0.0000, 0.5000, 0.5000], [0.5000, 0.0000, 0.0000], [0.0000, 0.5000, 0.0000], [0.5000, 0.0000, 0.5000]]
}

***

Entry x
{
  "formula": "Mn2CrMo",
  "functional": "PBE-GGA",
  "state": "relaxed",
  "dos_at_fermi_per_ev_cell": 18.835,
  "cell": [[5.8918, 0.0000, 0.0000], [0.0000, 5.8918, 0.0000], [0.0000, 0.0000, 5.8918]],
  "species": ["Mn", "Mn", "Mn", "Mn", "Mn", "Mn", "Mn", "Mn", "Cr", "Cr", "Cr", "Cr", "Mo", "Mo", "Mo", "Mo"],
  "fractional_positions": [[0.0000, 0.0000, 0.0000], [0.0000, 0.5000, 0.5000], [0.2500, 0.2500, 0.2500], [0.2500, 0.7500, 0.7500], [0.5000, 0.0000, 0.5000], [0.5000, 0.5000, 0.0000], [0.7500, 0.2500, 0.7500], [0.7500, 0.7500, 0.2500], [0.2500, 0.2500, 0.7500], [0.2500, 0.7500, 0.2500], [0.7500, 0.2500, 0.2500], [0.7500, 0.7500, 0.7500], [0.0000, 0.0000, 0.5000], [0.0000, 0.5000, 0.0000], [0.5000, 0.0000, 0.0000], [0.5000, 0.5000, 0.5000]]
}

***

Which one sits at the bottom of the stability order? entry w does.

***

Entry w
{
  "formula": "MnCrMo2",
  "functional": "PBE-GGA",
  "state": "relaxed",
  "dos_at_fermi_per_ev_cell": 4.130,
  "cell": [[2.6575, 0.0000, 0.0000], [0.0000, 2.6575, 0.0000], [0.0000, 0.0000, 7.8515]],
  "species": ["Mn", "Cr", "Mo", "Mo"],
  "fractional_positions": [[0.0000, 0.0000, 0.0000], [0.0000, 0.0000, 0.5000], [0.5000, 0.5000, 0.2344], [0.5000, 0.5000, 0.7656]]
}

***

Entry x
{
  "formula": "MnCrMo2",
  "functional": "PBE-GGA",
  "state": "relaxed",
  "dos_at_fermi_per_ev_cell": 3.489,
  "cell": [[3.0037, 0.0000, 0.0000], [0.0000, 3.0037, 0.0000], [0.0000, 0.0000, 6.0169]],
  "species": ["Mn", "Cr", "Mo", "Mo"],
  "fractional_positions": [[0.0000, 0.0000, 0.0000], [0.0000, 0.0000, 0.5000], [0.5000, 0.5000, 0.2521], [0.5000, 0.5000, 0.7479]]
}

***

Which one sits at the bottom of the stability order? entry w does.

***

Entry w
{
  "formula": "MnCrMo",
  "functional": "PBE-GGA",
  "state": "relaxed",
  "dos_at_fermi_per_ev_cell": 13.921,
  "cell": [[5.6343, 0.0000, 0.0000], [0.0000, 5.6343, 0.0000], [0.0000, 0.0000, 5.6343]],
  "species": ["Mn", "Mn", "Mn", "Mn", "Cr", "Cr", "Cr", "Cr", "Mo", "Mo", "Mo", "Mo"],
  "fractional_positions": [[0.0000, 0.0000, 0.0000], [0.0000, 0.5000, 0.5000], [0.5000, 0.0000, 0.5000], [0.5000, 0.5000, 0.0000], [0.2500, 0.2500, 0.7500], [0.2500, 0.7500, 0.2500], [0.7500, 0.2500, 0.2500], [0.7500, 0.7500, 0.7500], [0.2500, 0.2500, 0.2500], [0.2500, 0.7500, 0.7500], [0.7500, 0.2500, 0.7500], [0.7500, 0.7500, 0.2500]]
}

***

Entry x
{
  "formula": "MnCrMo",
  "functional": "PBE-GGA",
  "state": "relaxed",
  "dos_at_fermi_per_ev_cell": 18.781,
  "cell": [[4.7443, 0.0000, 0.0000], [0.0000, 4.8344, 0.0000], [0.0000, 0.0000, 6.6901]],
  "species": ["Mn", "Mn", "Mn", "Mn", "Cr", "Cr", "Cr", "Cr", "Mo", "Mo", "Mo", "Mo"],
  "fractional_positions": [[0.0000, 0.0000, 0.0000], [0.0000, 0.5000, 0.0000], [0.5000, 0.0000, 0.5000], [0.5000, 0.5000, 0.5000], [0.2500, 0.2500, 0.2500], [0.2500, 0.7500, 0.7500], [0.7500, 0.2500, 0.2500], [0.7500, 0.7500, 0.7500], [0.0000, 0.2500, 0.6230], [0.0000, 0.7500, 0.3770], [0.5000, 0.2500, 0.8770], [0.5000, 0.7500, 0.1230]]
}

***

Entry y
{
  "formula": "MnCrMo",
  "functional": "PBE-GGA",
  "state": "relaxed",
  "dos_at_fermi_per_ev_cell": 6.559,
  "cell": [[2.7724, 0.0000, 0.0000], [0.0000, 2.7724, 0.0000], [0.0000, 0.0000, 10.0609]],
  "species": ["Mn", "Mn", "Cr", "Cr", "Mo", "Mo"],
  "fractional_positions": [[0.0000, 0.0000, 0.0000], [0.5000, 0.5000, 0.5000], [0.0000, 0.0000, 0.3766], [0.5000, 0.5000, 0.8766], [0.0000, 0.0000, 0.6854], [0.5000, 0.5000, 0.1854]]
}

***

Which one sits at the bottom of the stability order? entry w does.

***

Entry w
{
  "formula": "MnCrMo",
  "functional": "PBE-GGA",
  "state": "relaxed",
  "dos_at_fermi_per_ev_cell": 4.126,
  "cell": [[4.1676, 0.0000, 0.0000], [-2.0838, 3.6092, 0.0000], [0.0000, 0.0000, 2.5924]],
  "species": ["Mn", "Cr", "Mo"],
  "fractional_positions": [[0.0000, 0.0000, 0.0000], [0.3333, 0.6667, 0.6660], [0.6667, 0.3333, 0.3508]]
}

***

Entry x
{
  "formula": "MnCrMo",
  "functional": "PBE-GGA",
  "state": "relaxed",
  "dos_at_fermi_per_ev_cell": 12.280,
  "cell": [[4.1679, 0.0000, 0.0000], [0.0000, 12.5578, 0.0000], [0.0000, 0.0000, 2.9935]],
  "species": ["Mn", "Mn", "Mn", "Mn", "Cr", "Cr", "Cr", "Cr", "Mo", "Mo", "Mo", "Mo"],
  "fractional_positions": [[0.0000, 0.0889, 0.2500], [0.0000, 0.9111, 0.7500], [0.5000, 0.4111, 0.7500], [0.5000, 0.5889, 0.2500], [0.0000, 0.2499, 0.7500], [0.0000, 0.7501, 0.2500], [0.5000, 0.2501, 0.2500], [0.5000, 0.7499, 0.7500], [0.0000, 0.4133, 0.2500], [0.0000, 0.5867, 0.7500], [0.5000, 0.0867, 0.7500], [0.5000, 0.9133, 0.2500]]
}

***

Which one sits at the bottom of the stability order? entry w does.

***

Entry w
{
  "formula": "TaMnCr2Mo",
  "functional": "PBE-GGA",
  "state": "relaxed",
  "dos_at_fermi_per_ev_cell": 5.745,
  "cell": [[4.5665, 0.0000, 0.0000], [0.0000, 4.5665, 0.0000], [0.0000, 0.0000, 4.7643]],
  "species": ["Ta", "Mn", "Cr", "Cr", "Mo"],
  "fractional_positions": [[0.0000, 0.0000, 0.0000], [0.5000, 0.5000, 0.5000], [0.0000, 0.5000, 0.0000], [0.5000, 0.0000, 0.0000], [0.0000, 0.0000, 0.5000]]
}

***

Entry x
{
  "formula": "TaMnCr2Mo",
  "functional": "PBE-GGA",
  "state": "relaxed",
  "dos_at_fermi_per_ev_cell": 6.192,
  "cell": [[4.4215, 0.0000, 0.0000], [0.0000, 4.4215, 0.0000], [0.0000, 0.0000, 4.3573]],
  "species": ["Ta", "Mn", "Cr", "Cr", "Mo"],
  "fractional_positions": [[0.0000, 0.0000, 0.0000], [0.0000, 0.0000, 0.5000], [0.0000, 0.5000, 0.0000], [0.5000, 0.0000, 0.0000], [0.5000, 0.5000, 0.5000]]
}

***

Which one sits at the bottom of the stability order? entry w does.

***

Entry w
{
  "formula": "Mn3CrN",
  "functional": "PBE-GGA",
  "state": "relaxed",
  "dos_at_fermi_per_ev_cell": 8.994,
  "cell": [[5.2199, 0.0000, 0.0000], [0.0000, 4.6145, 0.0000], [0.0000, 0.0000, 4.2157]],
  "species": ["Mn", "Mn", "Mn", "Mn", "Mn", "Mn", "Cr", "Cr", "N", "N"],
  "fractional_positions": [[0.0000, 0.1516, 0.0000], [0.2492, 0.3120, 0.4952], [0.2508, 0.6880, 0.9952], [0.5000, 0.8484, 0.5000], [0.7492, 0.6880, 0.9952], [0.7508, 0.3120, 0.4952], [0.0000, 0.8510, 0.5061], [0.5000, 0.1490, 0.0061], [0.0000, 0.5014, 0.2468], [0.5000, 0.4986, 0.7468]]
}

***

Entry x
{
  "formula": "Mn3CrN",
  "functional": "PBE-GGA",
  "state": "relaxed",
  "dos_at_fermi_per_ev_cell": 5.390,
  "cell": [[3.7109, 0.0000, 0.0000], [0.0000, 3.7109, 0.0000], [0.0000, 0.0000, 3.7109]],
  "species": ["Mn", "Mn", "Mn", "Cr", "N"],
  "fractional_positions": [[0.0000, 0.0000, 0.5000], [0.0000, 0.5000, 0.0000], [0.5000, 0.0000, 0.0000], [0.5000, 0.5000, 0.5000], [0.0000, 0.0000, 0.0000]]
}

***

Which one sits at the bottom of the stability order? entry x does.